1.
Entry from the Open Quantum Materials Database: crystalline CoNiGeOs at its relaxed geometry (GGA-PBE).

Cell and atoms, written as POSCAR:
```
CoNiGeOs
1.0
0.0000 2.9259 2.9259
2.9259 0.0000 2.9259
2.9259 2.9259 0.0000
Os Co Ni Ge
1 1 1 1
direct
0.2500 0.2500 0.2500
0.7500 0.7500 0.7500
0.5000 0.5000 0.5000
0.0000 0.0000 0.0000
```

Summary:
The energy above the lowest structure with this stoichiometry comes out at 0.00 eV/f.u.



2.
Entry from the Open Quantum Materials Database: crystalline CoNiGeOs at its relaxed geometry (GGA-PBE).

Cell and atoms, written as POSCAR:
```
CoNiGeOs
1.0
0.0000 2.9346 2.9346
2.9346 0.0000 2.9346
2.9346 2.9346 0.0000
Ni Os Co Ge
1 1 1 1
direct
0.2500 0.2500 0.2500
0.5000 0.5000 0.5000
0.7500 0.7500 0.7500
0.0000 0.0000 0.0000
```

Summary:
The energy above the lowest structure with this stoichiometry comes out at 0.76 eV/f.u.



3.
Entry from the Open Quantum Materials Database: crystalline PrCoNiGe2 at its relaxed geometry (GGA-PBE).

Cell and atoms, written as POSCAR:
```
PrCoNiGe2
1.0
-2.0536 2.0536 5.0687
2.0536 -2.0536 5.0687
2.0536 2.0536 -5.0687
Co Ge Pr Ni
1 2 1 1
direct
0.0000 0.0000 0.0000
0.8820 0.3820 0.5000
0.6180 0.1180 0.5000
0.2500 0.7500 0.5000
0.5000 0.5000 0.0000
```



4.
Entry from the Open Quantum Materials Database: crystalline CoNiGePt at its relaxed geometry (GGA-PBE).

Cell and atoms, written as POSCAR:
```
CoNiGePt
1.0
0.0000 2.9629 2.9629
2.9629 0.0000 2.9629
2.9629 2.9629 0.0000
Ge Ni Pt Co
1 1 1 1
direct
0.0000 0.0000 0.0000
0.5000 0.5000 0.5000
0.2500 0.2500 0.2500
0.7500 0.7500 0.7500
```

Summary:
The energy above the lowest structure with this stoichiometry comes out at 0.00 eV/f.u.



5.
Entry from the Open Quantum Materials Database: crystalline CoNiGePt at its relaxed geometry (GGA-PBE).

Cell and atoms, written as POSCAR:
```
CoNiGePt
1.0
-3.4889 1.9926 1.2014
-1.7939 2.8075 -2.5469
-3.6602 -0.8822 -1.8470
Pt Co Ge Ni
1 1 1 1
direct
0.5000 0.5000 0.5000
0.7500 0.7500 0.7500
0.0000 0.0000 0.0000
0.2500 0.2500 0.2500
```

Summary:
The energy above the lowest structure with this stoichiometry comes out at 0.18 eV/f.u.



6.
Entry from the Open Quantum Materials Database: crystalline CoReNiGe at its relaxed geometry (GGA-PBE).

Cell and atoms, written as POSCAR:
```
CoReNiGe
1.0
0.0000 2.9295 2.9295
2.9295 0.0000 2.9295
2.9295 2.9295 0.0000
Ni Co Re Ge
1 1 1 1
direct
0.5000 0.5000 0.5000
0.7500 0.7500 0.7500
0.2500 0.2500 0.2500
0.0000 0.0000 0.0000
```

Summary:
The energy above the lowest structure with this stoichiometry comes out at 0.00 eV/f.u.



7.
Entry from the Open Quantum Materials Database: crystalline CoReNiGe at its relaxed geometry (GGA-PBE).

Cell and atoms, written as POSCAR:
```
CoReNiGe
1.0
0.0000 2.9331 2.9331
2.9331 0.0000 2.9331
2.9331 2.9331 0.0000
Co Re Ge Ni
1 1 1 1
direct
0.7500 0.7500 0.7500
0.5000 0.5000 0.5000
0.0000 0.0000 0.0000
0.2500 0.2500 0.2500
```

Summary:
The energy above the lowest structure with this stoichiometry comes out at 0.50 eV/f.u.



8.
Entry from the Open Quantum Materials Database: crystalline CoNiGeSe3 at its relaxed geometry (GGA-PBE).

Cell and atoms, written as POSCAR:
```
CoNiGeSe3
1.0
-5.1029 3.6607 2.0027
4.4021 -4.7528 1.2185
6.1378 6.6010 3.5733
Ni Se Ge Co
2 6 2 2
direct
0.6486 0.3514 0.2500
0.3514 0.6486 0.7500
0.3727 0.6273 0.9972
0.6273 0.3727 0.4972
0.0144 0.9856 0.2500
0.6273 0.3727 0.0028
0.9856 0.0144 0.7500
0.3727 0.6273 0.5028
0.2790 0.7210 0.2500
0.7210 0.2790 0.7500
0.0000 0.0000 0.0000
0.0000 0.0000 0.5000
```

Summary:
The energy above the lowest structure with this stoichiometry comes out at 0.00 eV/f.u.



9.
Entry from the Open Quantum Materials Database: crystalline CoNiGeSe3 at its relaxed geometry (GGA-PBE).

Cell and atoms, written as POSCAR:
```
CoNiGeSe3
1.0
-2.3022 -0.7398 2.5695
-4.7794 -3.4015 -2.8389
4.9151 -8.5314 1.9474
Ge Se Ni Co
2 6 2 2
direct
0.7947 0.4105 0.7500
0.2053 0.5895 0.2500
0.6309 0.7382 0.0415
0.6309 0.7382 0.4585
0.3691 0.2618 0.9585
0.3691 0.2618 0.5415
0.9329 0.1342 0.2500
0.0671 0.8658 0.7500
0.0000 0.0000 0.0000
0.0000 0.0000 0.5000
0.5501 0.8998 0.2500
0.4499 0.1002 0.7500
```

Summary:
The energy above the lowest structure with this stoichiometry comes out at 0.66 eV/f.u.



10.
Entry from the Open Quantum Materials Database: crystalline Co2SiNi4Ge at its relaxed geometry (GGA-PBE).

Cell and atoms, written as POSCAR:
```
Co2SiNi4Ge
1.0
3.9697 0.0000 0.0000
0.0000 3.9697 0.0000
0.0000 0.0000 5.6285
Ni Si Ge Co
4 1 1 2
direct
0.5000 0.5000 0.0000
0.0000 0.5000 0.7435
0.5000 0.0000 0.2565
0.0000 0.0000 0.5000
0.5000 0.5000 0.5000
0.0000 0.0000 0.0000
0.0000 0.5000 0.2570
0.5000 0.0000 0.7430
```



11.
Entry from the Open Quantum Materials Database: crystalline SrCoNiGe2 at its relaxed geometry (GGA-PBE).

Cell and atoms, written as POSCAR:
```
SrCoNiGe2
1.0
-2.0667 2.0667 5.2615
2.0667 -2.0667 5.2615
2.0667 2.0667 -5.2615
Ge Sr Co Ni
2 1 1 1
direct
0.3903 0.8903 0.5000
0.1097 0.6097 0.5000
0.7500 0.2500 0.5000
0.0000 0.0000 0.0000
0.5000 0.5000 0.0000
```



12.
Entry from the Open Quantum Materials Database: crystalline Tb2CoNiGe4 at its relaxed geometry (GGA-PBE).

Cell and atoms, written as POSCAR:
```
Tb2CoNiGe4
1.0
4.1930 0.0000 0.0000
0.0000 2.0574 8.3175
0.0000 -2.0574 8.3175
Tb Co Ge Ni
2 1 4 1
direct
0.5000 0.1091 0.1091
0.0000 0.8919 0.8919
0.5000 0.3196 0.3196
0.0000 0.2525 0.2525
0.5000 0.7501 0.7501
0.0000 0.5414 0.5414
0.5000 0.4567 0.4567
0.0000 0.6788 0.6788
```



Number 1: calculated total energy -28.2 eV per cell. Number 2: calculated total energy -27.4 eV per cell. Number 3: calculated total energy -29.8 eV per cell. Number 4: calculated total energy -23.8 eV per cell. Number 5: calculated total energy -23.6 eV per cell. Number 6: calculated total energy -29.2 eV per cell. Number 7: calculated total energy -28.7 eV per cell. Number 8: calculated total energy -57.9 eV per cell. Number 9: calculated total energy -56.6 eV per cell. Number 10: calculated total energy -48.4 eV per cell. Number 11: calculated total energy -25.9 eV per cell. Number 12: calculated total energy -45.9 eV per cell.